1.
The following is a DFT calculation (PBE) of CrNiSe4 after structural relaxation.

For the formation energy from raw total energies, the calculation gives 0.94 eV per atom. The space group is No. 216.

Unit cell a=5.6133 b=5.6133 c=5.6133 alpha=60.00 beta=60.00 gamma=60.00
With the nearest neighbours (Å) after each atom.
Element x y z (fractional)
Ni  0.0000  0.0000  0.0000  12 Se 3.29, 4 Cr 3.44
Se  0.3745  0.3745  0.3745  6 Se 2.80-2.82
Se  0.3745  0.8765  0.3745  6 Se 2.80-2.82
Se  0.8765  0.3745  0.3745  6 Se 2.80-2.82
Se  0.3745  0.3745  0.8765  6 Se 2.80-2.82
Cr  0.7500  0.7500  0.7500  12 Se 3.29, 4 Ni 3.44


2.
The following is a DFT calculation (PBE) of CrNi2Se after structural relaxation.

For the formation energy from raw total energies, the calculation gives 0.14 eV per atom. The space group is No. 71.

Unit cell a=4.8091 b=4.8091 c=4.8091 alpha=140.78 beta=131.05 gamma=64.44
With the nearest neighbours (Å) after each atom.
Element x y z (fractional)
Se  0.7500  0.2500  0.5000  4 Ni 2.47, 4 Cr 2.56
Cr  0.2500  0.7500  0.5000  4 Se 2.56, 8 Ni 2.72-2.74
Ni  0.9804  0.9804  0.0000  2 Se 2.47, 4 Ni 2.58, 4 Cr 2.72-2.74
Ni  0.5196  0.5196  0.0000  2 Se 2.47, 4 Ni 2.58, 4 Cr 2.72-2.74


3.
The following is a DFT calculation (PBE) of CrNi2Se after structural relaxation.

For the formation energy from raw total energies, the calculation gives 0.12 eV per atom. The space group is No. 12.

Unit cell a=6.4187 b=3.6845 c=3.7512 alpha=89.91 beta=54.36 gamma=125.06
With the nearest neighbours (Å) after each atom.
Element x y z (fractional)
Ni  0.5000  0.0000  0.5000  4 Ni 2.60-2.61, 4 Se 2.63, 4 Cr 2.63
Ni  0.0000  0.0000  0.0000  4 Ni 2.60-2.61, 4 Cr 2.63, 4 Se 2.63
Se  0.0000  0.5000  0.5000  4 Cr 2.60-2.61, 8 Ni 2.63
Cr  0.5000  0.5000  0.0000  4 Se 2.60-2.61, 8 Ni 2.63


Magnetic moment, respectively: 0.62; 0.83; 0.74 μB per atom.